# GGA-PBE Hf2ScTa, relaxed
# Formation energy in eV per atom: 0.163
# DOS at the Fermi energy in states/eV/f.u.: 5.13
data_Hf2ScTa
_symmetry_space_group_name_H-M 'F m -3 m'
_symmetry_Int_Tables_number 225
_symmetry_space_group_name_Hall '-F 4 2 3'
_cell_length_a 6.9647
_cell_length_b 6.9647
_cell_length_c 6.9647
_cell_angle_alpha 90.00
_cell_angle_beta 90.00
_cell_angle_gamma 90.00
loop_
_atom_site_label
_atom_site_fract_x
_atom_site_fract_y
_atom_site_fract_z
Hf1 0.2500 0.2500 0.2500
Sc1 0.0000 0.0000 0.0000
Ta1 0.0000 0.0000 0.5000